Model one:
Material: Dy6Zn2In
Method: DFT, PBE-GGA
State: relaxed

The structure in POSCAR format:
```
Dy6Zn2In
1.0
4.991 0.000 0.000
0.000 4.991 0.000
-2.496 -2.496 10.806
Dy In Zn
6 1 2
Cartesian
0.000 2.496 1.939
0.000 2.496 8.867
2.496 0.000 8.867
2.496 0.000 1.939
2.496 0.000 5.403
0.000 2.496 5.403
0.000 0.000 0.000
0.000 0.000 7.170
2.496 2.496 3.636
```

Results
Mass density: 7529 kg/m³
Symmetry: I4/mmm

=====

Model two:
Material: Dy6Zn2In
Method: DFT, PBE-GGA
State: relaxed

The structure in POSCAR format:
```
Dy6Zn2In
1.0
-8.212 -1.606 2.010
4.777 -7.062 1.171
3.281 6.150 5.047
In Dy Zn
2 12 4
Cartesian
4.029 -0.456 3.109
0.000 0.000 0.000
-5.254 -2.766 2.045
-3.402 -5.458 3.609
5.100 0.248 6.183
-4.683 0.582 3.067
4.528 -3.100 5.161
3.248 2.940 4.619
-1.720 0.247 5.353
-1.848 -1.538 2.170
1.694 -0.980 6.058
0.918 0.721 2.956
1.566 -2.765 2.875
-1.072 -3.239 5.272
0.562 1.929 5.864
-1.797 1.656 2.571
-0.716 -4.447 2.364
-3.134 2.888 4.485
```

Results
Mass density: 8273 kg/m³
Symmetry: Immm

=====

Which structure is the least stable? The one labeled model one.

=====

Model one:
Material: Dy2ZrIn
Method: DFT, PBE-GGA
State: relaxed

The structure in POSCAR format:
```
Dy2ZrIn
1.0
-3.043 4.226 -1.170
-2.029 0.551 -4.906
-5.239 -0.625 -0.807
Dy In Zr
2 1 1
Cartesian
-2.578 1.038 -1.721
-7.733 3.115 -5.162
-5.155 2.076 -3.441
0.000 0.000 0.000
```

Results
Mass density: 8202 kg/m³
Symmetry: Fm-3m

=====

Model two:
Material: Dy2ZrIn
Method: DFT, PBE-GGA
State: relaxed

The structure in POSCAR format:
```
Dy2ZrIn
1.0
-2.727 2.075 0.100
-1.473 -1.815 -2.507
-3.915 -5.446 6.242
In Zr Dy
1 1 2
Cartesian
-2.100 0.130 -1.204
-4.057 -2.593 1.918
-2.952 -4.106 4.707
-0.963 -1.340 1.536
```

Results
Mass density: 8192 kg/m³
Symmetry: P4/mmm

=====

Which structure is the least stable? The one labeled model one.

=====

Model one:
Material: LaDyIr
Method: DFT, PBE-GGA
State: relaxed

The structure in POSCAR format:
```
LaDyIr
1.0
3.550 0.000 0.000
0.000 3.550 0.000
-1.775 -1.775 6.584
Ir La Dy
1 1 1
Cartesian
1.775 1.775 2.113
0.000 0.000 3.882
0.000 0.000 0.588
```

Results
Mass density: 9878 kg/m³
Symmetry: I4mm

=====

Model two:
Material: LaDyIr
Method: DFT, PBE-GGA
State: relaxed

The structure in POSCAR format:
```
LaDyIr
1.0
-3.362 0.478 5.380
-1.906 -3.628 -0.869
3.553 0.021 2.219
La Dy Ir
1 1 1
Cartesian
-2.673 -2.044 4.299
0.981 -1.088 2.393
-0.023 0.003 0.037
```

Results
Mass density: 8479 kg/m³
Symmetry: P3m1

=====

Which structure is the least stable? The one labeled model one.

=====

Model one:
Material: LaDyIr
Method: DFT, PBE-GGA
State: relaxed

The structure in POSCAR format:
```
LaDyIr
1.0
7.117 0.000 0.000
0.000 6.342 -1.720
0.000 1.888 7.688
Ir La Dy
4 4 4
Cartesian
5.367 7.943 4.869
5.308 3.828 1.885
1.749 0.287 1.099
1.809 4.402 4.084
2.976 3.179 6.397
6.535 2.824 4.275
0.582 5.406 1.694
4.140 5.051 -0.429
6.569 1.733 0.466
0.547 6.497 5.502
3.011 2.382 2.518
4.106 5.848 3.450
```

Results
Mass density: 8859 kg/m³
Symmetry: P2_1/c

=====

Model two:
Material: LaDyIr
Method: DFT, PBE-GGA
State: relaxed

The structure in POSCAR format:
```
LaDyIr
1.0
4.919 0.000 0.000
2.460 4.260 0.000
2.460 1.420 4.017
La Ir Dy
1 1 1
Cartesian
0.000 0.000 0.000
2.460 1.420 1.004
4.919 2.840 2.008
```

Results
Mass density: 9737 kg/m³
Symmetry: F-43m

=====

Which structure is the least stable? The one labeled model two.

=====

Model one:
Material: LaDyIr2
Method: DFT, PBE-GGA
State: relaxed

The structure in POSCAR format:
```
LaDyIr2
1.0
-3.107 -3.035 -2.416
1.469 -4.581 -1.247
-1.928 -3.947 2.325
La Dy Ir
1 1 2
Cartesian
-1.783 -5.782 -0.669
0.000 0.000 0.000
-0.891 -2.891 -0.335
-2.674 -8.672 -1.004
```

Results
Mass density: 13118 kg/m³
Symmetry: Fm-3m

=====

Model two:
Material: LaDyIr2
Method: DFT, PBE-GGA
State: relaxed

The structure in POSCAR format:
```
LaDyIr2
1.0
-1.840 2.444 1.571
-2.492 -2.284 0.634
3.170 -1.696 6.354
Ir Dy La
2 1 1
Cartesian
2.434 -1.302 4.879
0.736 -0.394 1.475
-2.166 0.080 1.102
-0.582 -0.768 4.279
```

Results
Mass density: 13188 kg/m³
Symmetry: P4/mmm

=====

Which structure is the least stable? The one labeled model one.

=====

Model one:
Material: La2DyIr
Method: DFT, PBE-GGA
State: relaxed

The structure in POSCAR format:
```
La2DyIr
1.0
6.458 0.000 0.000
0.000 7.362 0.000
0.000 0.000 10.091
La Ir Dy
8 4 4
Cartesian
4.355 6.070 9.413
5.332 2.389 9.413
1.126 4.973 4.368
2.103 1.292 0.677
1.126 4.973 0.677
2.103 1.292 4.368
4.355 6.070 5.723
5.332 2.389 5.723
6.105 4.591 7.568
0.353 2.771 2.523
2.876 6.452 2.523
3.582 0.910 7.568
4.246 3.968 2.523
2.212 3.393 7.568
5.441 0.288 2.523
1.017 7.074 7.568
```

Results
Mass density: 8758 kg/m³
Symmetry: Pnma

=====

Model two:
Material: La2DyIr
Method: DFT, PBE-GGA
State: relaxed

The structure in POSCAR format:
```
La2DyIr
1.0
-0.990 -3.741 0.480
0.543 -1.733 3.450
-9.894 1.142 4.333
Ir Dy La
1 1 2
Cartesian
-5.170 -2.166 4.132
0.000 0.000 0.000
-6.609 0.142 3.314
-3.732 -4.474 4.949
```

Results
Mass density: 7509 kg/m³
Symmetry: R-3m

=====

Which structure is the least stable? The one labeled model two.